{
  "formula": "Pr2HfHg",
  "functional": "PBE",
  "state": "optimized geometry",
  "lattice_angstrom": [[-0.846, 0.471, 3.206], [-0.644, -2.634, 1.967], [10.947, -1.210, 4.817]],
  "species": ["Pr", "Pr", "Hf", "Hg"],
  "frac_coords": [[0.089, 0.089, 0.732], [0.911, 0.911, 0.268], [0.000, 0.000, 0.000], [0.500, 0.500, 0.500]],
  "energy_ev_per_cell": -18.64,
  "de_polymorph_mev_per_atom": 370,
  "volume_a3_per_atom": 28.820,
  "formation_energy_ev_per_fu": 1.2,
  "spacegroup": "R-3m (166)"
}

=====

{
  "formula": "Er5In2Os",
  "functional": "PBE",
  "state": "optimized geometry",
  "lattice_angstrom": [[4.939, 0.000, 0.000], [0.000, 6.638, 0.000], [0.000, 0.000, 12.526]],
  "species": ["Er", "Er", "Er", "Er", "Er", "Er", "Er", "Er", "Er", "Er", "In", "In", "In", "In", "Os", "Os"],
  "frac_coords": [[0.000, 0.000, 0.500], [0.000, 0.500, 0.000], [0.000, 0.887, 0.214], [0.000, 0.113, 0.786], [0.000, 0.613, 0.714], [0.000, 0.387, 0.286], [0.500, 0.669, 0.409], [0.500, 0.331, 0.591], [0.500, 0.831, 0.909], [0.500, 0.169, 0.091], [0.500, 0.624, 0.154], [0.500, 0.376, 0.846], [0.500, 0.876, 0.654], [0.500, 0.124, 0.346], [0.000, 0.500, 0.500], [0.000, 0.000, 0.000]],
  "energy_ev_per_cell": -84.88,
  "volume_a3_per_atom": 25.667,
  "formation_energy_ev_per_fu": -2.9,
  "spacegroup": "Pbam (55)"
}

=====

{
  "formula": "Nb3TeSe",
  "functional": "PBE",
  "state": "optimized geometry",
  "lattice_angstrom": [[-4.603, -1.193, 0.679], [1.371, -3.893, 2.458], [-0.060, 2.549, 4.071]],
  "species": ["Nb", "Nb", "Nb", "Te", "Se"],
  "frac_coords": [[0.000, 0.500, 0.000], [0.000, 0.000, 0.500], [0.500, 0.000, 0.000], [0.500, 0.500, 0.500], [0.000, 0.000, 0.000]],
  "energy_ev_per_cell": -33.88,
  "de_polymorph_mev_per_atom": 722,
  "volume_a3_per_atom": 22.168,
  "spacegroup": "Pm-3m (221)"
}

=====

{
  "formula": "NiBi2HAu",
  "functional": "PBE",
  "state": "optimized geometry",
  "lattice_angstrom": [[5.374, 0.000, 0.000], [0.000, 5.374, 0.000], [0.000, 0.000, 3.293]],
  "species": ["Ni", "Au", "Bi", "Bi", "H"],
  "frac_coords": [[0.000, 0.000, 0.000], [0.500, 0.500, 0.500], [0.000, 0.500, 0.000], [0.500, 0.000, 0.000], [0.000, 0.000, 0.500]],
  "energy_ev_per_cell": -19.61,
  "de_polymorph_mev_per_atom": 0,
  "volume_a3_per_atom": 19.021,
  "spacegroup": "P4/mmm (123)"
}

=====

{
  "formula": "SbPb3F",
  "functional": "PBE",
  "state": "optimized geometry",
  "lattice_angstrom": [[-2.262, -1.108, -5.437], [-1.864, -5.379, 1.872], [-5.226, 2.398, 1.686]],
  "species": ["Pb", "Pb", "Pb", "Sb", "F"],
  "frac_coords": [[0.000, 0.500, 0.000], [0.000, 0.000, 0.500], [0.500, 0.000, 0.000], [0.000, 0.000, 0.000], [0.500, 0.500, 0.500]],
  "energy_ev_per_cell": -16.00,
  "de_polymorph_mev_per_atom": 661,
  "volume_a3_per_atom": 43.032,
  "spacegroup": "Pm-3m (221)"
}

=====

{
  "formula": "K2BaAu6",
  "functional": "PBE",
  "state": "optimized geometry",
  "lattice_angstrom": [[-3.214, -1.728, 2.284], [-3.519, -5.865, -5.333], [2.392, -8.253, 1.177]],
  "species": ["K", "K", "Ba", "Au", "Au", "Au", "Au", "Au", "Au"],
  "frac_coords": [[0.868, 0.632, 0.632], [0.132, 0.368, 0.368], [0.000, 0.000, 0.000], [0.689, 0.044, 0.578], [0.311, 0.956, 0.422], [0.311, 0.422, 0.956], [0.500, 0.732, 0.268], [0.500, 0.268, 0.732], [0.689, 0.578, 0.044]],
  "energy_ev_per_cell": -26.32,
  "volume_a3_per_atom": 30.767,
  "formation_energy_ev_per_fu": -2.5,
  "spacegroup": "Immm (71)"
}

=====

{
  "formula": "La2NiRhC",
  "functional": "PBE",
  "state": "optimized geometry",
  "lattice_angstrom": [[5.266, 0.000, 0.000], [0.000, 5.266, 0.000], [0.000, 0.000, 3.859]],
  "species": ["Ni", "C", "Rh", "La", "La"],
  "frac_coords": [[0.500, 0.500, 0.500], [0.000, 0.000, 0.000], [0.000, 0.000, 0.500], [0.000, 0.500, 0.000], [0.500, 0.000, 0.000]],
  "energy_ev_per_cell": -33.45,
  "de_polymorph_mev_per_atom": 104,
  "volume_a3_per_atom": 21.403,
  "formation_energy_ev_per_fu": -1.2,
  "spacegroup": "P4/mmm (123)"
}

=====

{
  "formula": "Tb6YZn2",
  "functional": "PBE",
  "state": "optimized geometry",
  "lattice_angstrom": [[-0.137, -0.102, 3.631], [3.987, -4.809, 1.834], [9.881, 5.376, 2.343]],
  "species": ["Tb", "Tb", "Tb", "Tb", "Tb", "Tb", "Y", "Zn", "Zn"],
  "frac_coords": [[0.691, 0.492, 0.125], [0.309, 0.508, 0.875], [0.313, 0.786, 0.589], [0.976, 0.718, 0.329], [0.024, 0.282, 0.671], [0.687, 0.214, 0.411], [0.000, 0.000, 0.000], [0.353, 0.091, 0.204], [0.647, 0.909, 0.796]],
  "energy_ev_per_cell": -38.12,
  "volume_a3_per_atom": 28.040,
  "formation_energy_ev_per_fu": -1.3,
  "spacegroup": "C2/m (12)"
}

=====

{
  "formula": "Rb2InPtI6",
  "functional": "PBE",
  "state": "optimized geometry",
  "lattice_angstrom": [[-7.464, 3.731, 0.241], [-3.637, -7.123, -2.392], [-6.162, -3.285, 4.585]],
  "species": ["I", "I", "I", "I", "I", "I", "Rb", "Rb", "Pt", "In"],
  "frac_coords": [[0.238, 0.238, 0.525], [0.762, 0.762, 0.475], [0.235, 0.235, 0.000], [0.765, 0.765, 0.000], [0.765, 0.235, 0.000], [0.235, 0.765, 0.000], [0.750, 0.250, 0.500], [0.250, 0.750, 0.500], [0.000, 0.000, 0.000], [0.500, 0.500, 0.000]],
  "energy_ev_per_cell": -27.32,
  "volume_a3_per_atom": 41.190,
  "spacegroup": "I4/mmm (139)"
}

=====

{
  "formula": "Zr2PbBr",
  "functional": "PBE",
  "state": "optimized geometry",
  "lattice_angstrom": [[5.533, -0.010, 0.021], [4.532, 3.174, 0.021], [0.957, 0.301, 5.527]],
  "species": ["Pb", "Br", "Zr", "Zr"],
  "frac_coords": [[0.740, 0.740, 0.808], [0.514, 0.514, 0.391], [0.988, 0.988, 0.004], [0.258, 0.258, 0.297]],
  "energy_ev_per_cell": -23.28,
  "volume_a3_per_atom": 24.311,
  "spacegroup": "Cm (8)"
}

=====

{
  "formula": "ZnReBS2",
  "functional": "PBE",
  "state": "optimized geometry",
  "lattice_angstrom": [[-2.349, 0.906, -3.344], [2.212, -2.431, -2.212], [-2.557, -3.179, 0.936]],
  "species": ["Re", "Zn", "B", "S", "S"],
  "frac_coords": [[0.500, 0.500, 0.500], [0.000, 0.500, 0.000], [0.000, 0.000, 0.000], [0.000, 0.000, 0.500], [0.500, 0.000, 0.000]],
  "energy_ev_per_cell": -22.23,
  "volume_a3_per_atom": 13.880,
  "spacegroup": "P4/mmm (123)"
}

=====

{
  "formula": "GdDyIn2",
  "functional": "PBE",
  "state": "optimized geometry",
  "lattice_angstrom": [[-2.181, -2.800, -0.153], [1.125, -0.696, -3.297], [6.161, -4.971, 3.153]],
  "species": ["Gd", "In", "In", "Dy"],
  "frac_coords": [[0.500, 0.500, 0.500], [0.000, 0.000, 0.753], [0.000, 0.000, 0.247], [0.500, 0.500, 0.000]],
  "energy_ev_per_cell": -26.10,
  "de_polymorph_mev_per_atom": 0,
  "volume_a3_per_atom": 26.887,
  "formation_energy_ev_per_fu": -1.9,
  "spacegroup": "P4/mmm (123)"
}

=====

The evaluated spin magnetization for the records listed, in turn: 0.00 0.00 0.00 0.00 0.00 0.00 0.00 0.00 0.00 0.00 1.07 7.00 Bohr magnetons per cell.
The evaluated N(E_F) for the records listed, in turn: 1.454 0.597 1.185 0.776 0.752 0.307 0.600 1.116 0.566 0.693 0.912 0.526 states/eV/atom.